[1]
Density functional theory data (PBE-GGA) for a relaxed structure of FePd5.

```
data_FePd5
_chemical_formula_sum 'Fe2 Pd10'
_symmetry_space_group_name_H-M 'P 1'
_symmetry_Int_Tables_number 1
_symmetry_space_group_name_Hall 'P 1'
_cell_length_a 6.076
_cell_length_b 6.076
_cell_length_c 6.731
_cell_angle_alpha 116.83
_cell_angle_beta 116.83
_cell_angle_gamma 90.00
loop_
_atom_site_label
_atom_site_type_symbol
_atom_site_fract_x
_atom_site_fract_y
_atom_site_fract_z
Fe1 Fe 0.750 0.750 0.500
Pd1 Pd 0.706 0.206 0.720
Pd2 Pd 0.000 0.000 0.000
Pd3 Pd 0.515 0.706 0.720
Pd4 Pd 0.015 0.515 0.720
Pd5 Pd 0.500 0.500 0.000
Pd6 Pd 0.485 0.294 0.280
Pd7 Pd 0.985 0.485 0.280
Pd8 Pd 0.794 0.985 0.280
Pd9 Pd 0.206 0.015 0.720
Fe2 Fe 0.250 0.250 0.500
Pd10 Pd 0.294 0.794 0.280
```

- space-group type = I4/mcm
- calculated volume (Å³/f.u.) = 95.6
- DFT formation energy (eV/atom) = 0.07
- crystal system = tetragonal

=====

[2]
Density functional theory data (PBE-GGA) for a relaxed structure of Fe4Pd5.

```
data_Fe4Pd5
_chemical_formula_sum 'Fe4 Pd5'
_symmetry_space_group_name_H-M 'P 1'
_symmetry_Int_Tables_number 1
_symmetry_space_group_name_Hall 'P 1'
_cell_length_a 3.861
_cell_length_b 6.041
_cell_length_c 6.041
_cell_angle_alpha 84.14
_cell_angle_beta 71.36
_cell_angle_gamma 71.36
loop_
_atom_site_label
_atom_site_type_symbol
_atom_site_fract_x
_atom_site_fract_y
_atom_site_fract_z
Fe1 Fe 0.500 0.342 0.658
Pd1 Pd 0.169 0.000 0.661
Pd2 Pd 0.170 0.661 0.000
Pd3 Pd 0.500 0.000 0.000
Pd4 Pd 0.830 0.339 0.000
Fe2 Fe 0.158 0.342 0.342
Pd5 Pd 0.831 0.000 0.339
Fe3 Fe 0.500 0.658 0.342
Fe4 Fe 0.842 0.658 0.658
```

- energy relative to the lowest polymorph listed for this composition (meV/atom) = 0
- space-group type = I4/mmm
- calculated volume (Å³/f.u.) = 126.5
- DFT formation energy (eV/atom) = -0.04
- crystal system = tetragonal

=====

[3]
Density functional theory data (PBE-GGA) for a relaxed structure of FePd4.

```
data_FePd4
_chemical_formula_sum 'Fe2 Pd8'
_symmetry_space_group_name_H-M 'P 1'
_symmetry_Int_Tables_number 1
_symmetry_space_group_name_Hall 'P 1'
_cell_length_a 5.468
_cell_length_b 5.468
_cell_length_c 7.230
_cell_angle_alpha 63.65
_cell_angle_beta 63.65
_cell_angle_gamma 57.85
loop_
_atom_site_label
_atom_site_type_symbol
_atom_site_fract_x
_atom_site_fract_y
_atom_site_fract_z
Pd1 Pd 0.886 0.384 0.296
Pd2 Pd 0.648 0.648 0.628
Fe1 Fe 0.628 0.628 0.001
Pd3 Pd 0.918 0.918 0.214
Fe2 Fe 0.372 0.372 0.999
Pd4 Pd 0.082 0.082 0.786
Pd5 Pd 0.114 0.616 0.704
Pd6 Pd 0.616 0.114 0.704
Pd7 Pd 0.352 0.352 0.372
Pd8 Pd 0.384 0.886 0.296
```

- energy relative to the lowest polymorph listed for this composition (meV/atom) = 102
- space-group type = C2/m
- calculated volume (Å³/f.u.) = 78.9
- DFT formation energy (eV/atom) = 0.11
- crystal system = monoclinic

=====

[4]
Density functional theory data (PBE-GGA) for a relaxed structure of Fe2Pd.

```
data_Fe2Pd
_chemical_formula_sum 'Fe2 Pd1'
_symmetry_space_group_name_H-M 'P 1'
_symmetry_Int_Tables_number 1
_symmetry_space_group_name_Hall 'P 1'
_cell_length_a 2.760
_cell_length_b 2.760
_cell_length_c 6.141
_cell_angle_alpha 90.00
_cell_angle_beta 90.00
_cell_angle_gamma 120.00
loop_
_atom_site_label
_atom_site_type_symbol
_atom_site_fract_x
_atom_site_fract_y
_atom_site_fract_z
Fe1 Fe 0.667 0.333 0.348
Pd1 Pd 0.000 0.000 0.000
Fe2 Fe 0.333 0.667 0.652
```

- space-group type = P-3m1
- calculated volume (Å³/f.u.) = 40.5
- DFT formation energy (eV/atom) = 0.08
- crystal system = trigonal

=====

[5]
Density functional theory data (PBE-GGA) for a relaxed structure of Fe5Pd7.

```
data_Fe5Pd7
_chemical_formula_sum 'Fe5 Pd7'
_symmetry_space_group_name_H-M 'P 1'
_symmetry_Int_Tables_number 1
_symmetry_space_group_name_Hall 'P 1'
_cell_length_a 2.787
_cell_length_b 6.993
_cell_length_c 10.178
_cell_angle_alpha 61.62
_cell_angle_beta 82.13
_cell_angle_gamma 78.50
loop_
_atom_site_label
_atom_site_type_symbol
_atom_site_fract_x
_atom_site_fract_y
_atom_site_fract_z
Fe1 Fe 0.824 0.833 0.518
Pd1 Pd 0.335 0.319 0.011
Pd2 Pd 0.665 0.681 0.989
Fe2 Fe 0.742 0.269 0.247
Pd3 Pd 0.500 0.500 0.500
Pd4 Pd 0.399 0.932 0.270
Pd5 Pd 0.081 0.593 0.245
Fe3 Fe 0.258 0.731 0.753
Pd6 Pd 0.601 0.068 0.730
Fe4 Fe 0.000 0.000 0.000
Pd7 Pd 0.919 0.407 0.755
Fe5 Fe 0.176 0.167 0.482
```

- space-group type = C2/m
- calculated volume (Å³/f.u.) = 170.9
- DFT formation energy (eV/atom) = -0.05
- crystal system = monoclinic

=====

[6]
Density functional theory data (PBE-GGA) for a relaxed structure of Fe3Pd.

```
data_Fe3Pd
_chemical_formula_sum 'Fe3 Pd1'
_symmetry_space_group_name_H-M 'P 1'
_symmetry_Int_Tables_number 1
_symmetry_space_group_name_Hall 'P 1'
_cell_length_a 2.564
_cell_length_b 2.542
_cell_length_c 8.007
_cell_angle_alpha 90.00
_cell_angle_beta 90.00
_cell_angle_gamma 90.00
loop_
_atom_site_label
_atom_site_type_symbol
_atom_site_fract_x
_atom_site_fract_y
_atom_site_fract_z
Fe1 Fe 0.000 0.500 0.471
Fe2 Fe 0.500 0.500 0.213
Fe3 Fe 0.500 0.000 0.685
Pd1 Pd 0.000 0.000 0.965
```

- space-group type = Pmm2
- calculated volume (Å³/f.u.) = 52.2
- DFT formation energy (eV/atom) = 0.33
- crystal system = orthorhombic

=====

[7]
Density functional theory data (PBE-GGA) for a relaxed structure of FePd2.

```
data_FePd2
_chemical_formula_sum 'Fe1 Pd2'
_symmetry_space_group_name_H-M 'P 1'
_symmetry_Int_Tables_number 1
_symmetry_space_group_name_Hall 'P 1'
_cell_length_a 4.126
_cell_length_b 4.126
_cell_length_c 4.126
_cell_angle_alpha 119.99
_cell_angle_beta 119.99
_cell_angle_gamma 90.00
loop_
_atom_site_label
_atom_site_type_symbol
_atom_site_fract_x
_atom_site_fract_y
_atom_site_fract_z
Pd1 Pd 0.750 0.250 0.500
Fe1 Fe 0.000 0.000 0.000
Pd2 Pd 0.250 0.750 0.500
```

- space-group type = Fm-3m
- calculated volume (Å³/f.u.) = 49.7
- DFT formation energy (eV/atom) = 0.16
- crystal system = cubic

=====

[8]
Density functional theory data (PBE-GGA) for a relaxed structure of FePd2.

```
data_FePd2
_chemical_formula_sum 'Fe1 Pd2'
_symmetry_space_group_name_H-M 'P 1'
_symmetry_Int_Tables_number 1
_symmetry_space_group_name_Hall 'P 1'
_cell_length_a 2.762
_cell_length_b 2.762
_cell_length_c 6.579
_cell_angle_alpha 90.00
_cell_angle_beta 90.00
_cell_angle_gamma 120.00
loop_
_atom_site_label
_atom_site_type_symbol
_atom_site_fract_x
_atom_site_fract_y
_atom_site_fract_z
Fe1 Fe 0.000 0.000 0.000
Pd1 Pd 0.333 0.667 0.681
Pd2 Pd 0.667 0.333 0.319
```

- space-group type = P-3m1
- calculated volume (Å³/f.u.) = 43.5
- DFT formation energy (eV/atom) = -0.06
- crystal system = trigonal